Here is a relaxed structure of MgNbI3 from the Alexandria database. Energies are from PBE-GGA.

The structure in POSCAR format:
```
MgNbI3
1.0
5.640 0.000 0.000
0.000 5.640 0.000
0.000 0.000 5.640
Mg Nb I
1 1 3
direct
0.000 0.000 0.000
0.500 0.500 0.500
0.000 0.000 0.500
0.000 0.500 0.000
0.500 0.000 0.000
```

Computed properties:
Energy above the lowest structure with this stoichiometry, meV per atom: 304
V, Å³/cell: 179
VASP energy, eV per cell: -14.44
Crystal system: cubic
Space-group type: Pm-3m (221)
Raw formation energy, meV/atom: 375


Here is a relaxed structure of TbDy2Cd6 from the Alexandria database. Energies are from PBE-GGA.

The structure in POSCAR format:
```
TbDy2Cd6
1.0
8.628 0.000 0.000
-4.314 7.472 0.000
0.000 0.000 3.423
Tb Dy Cd
1 2 6
direct
0.000 0.000 0.000
0.333 0.667 0.000
0.667 0.333 0.000
0.000 0.334 0.500
0.000 0.666 0.500
0.334 0.000 0.500
0.334 0.334 0.500
0.666 0.000 0.500
0.666 0.666 0.500
```

Computed properties:
V, Å³/cell: 221
VASP energy, eV per cell: -22.18
Crystal system: hexagonal
Space-group type: P6/mmm (191)


Here is a relaxed structure of Ca2Ga4Cu3Ag from the Alexandria database. Energies are from PBE-GGA.

The structure in POSCAR format:
```
Ca2Ga4Cu3Ag
1.0
4.125 0.000 0.000
0.000 4.125 0.000
0.000 0.000 10.971
Ca Ga Cu Ag
2 4 3 1
direct
0.000 0.500 0.241
0.500 0.000 0.759
0.000 0.000 0.000
0.000 0.500 0.645
0.500 0.000 0.355
0.500 0.500 0.000
0.000 0.500 0.867
0.500 0.000 0.133
0.500 0.500 0.500
0.000 0.000 0.500
```

Computed properties:
V, Å³/cell: 187
VASP energy, eV per cell: -34.30
Crystal system: tetragonal
Space-group type: P-4m2 (115)


Here is a relaxed structure of MnSe3 from the Alexandria database. Energies are from PBE-GGA.

The structure in POSCAR format:
```
MnSe3
1.0
3.126 0.000 0.000
-1.563 2.707 0.000
0.000 0.000 9.782
Mn Se
1 3
direct
0.000 0.000 0.000
0.000 0.000 0.500
0.667 0.333 0.161
0.667 0.333 0.839
```

Computed properties:
V, Å³/cell: 83
VASP energy, eV per cell: -19.73
Crystal system: hexagonal
Space-group type: P-6m2 (187)
Raw formation energy, meV/atom: -28


Here is a relaxed structure of V2InCu from the Alexandria database. Energies are from PBE-GGA.

The structure in POSCAR format:
```
V2InCu
1.0
-3.558 3.558 2.568
3.558 -3.558 2.568
3.558 3.558 -2.568
V In Cu
4 2 2
direct
0.100 0.625 0.975
0.375 0.350 0.475
0.650 0.125 0.025
0.875 0.900 0.525
0.250 0.750 0.500
0.500 0.500 0.000
0.000 0.000 0.000
0.750 0.250 0.500
```

Computed properties:
V, Å³/cell: 130
VASP energy, eV per cell: -45.25
Crystal system: tetragonal
Space-group type: I-42d (122)


Here is a relaxed structure of MnGa2AgPd from the Alexandria database. Energies are from PBE-GGA.

The structure in POSCAR format:
```
MnGa2AgPd
1.0
4.810 0.000 0.000
0.000 4.810 0.000
0.000 0.000 5.297
Mn Ga Ag Pd
1 2 1 1
direct
0.000 0.000 0.000
0.000 0.500 0.500
0.500 0.000 0.500
0.500 0.500 0.500
0.500 0.500 0.000
```

Computed properties:
V, Å³/cell: 123
VASP energy, eV per cell: -16.86
Crystal system: tetragonal
Space-group type: P4/mmm (123)